1.
A relaxed structure of Sc2PdI. Source: the Alexandria database, functional PBE-GGA.

Computed properties:
- formation energy from raw total energies (kcal/mol of atoms) = -7.77
- offset from the most stable computed form (eV/atom) = 0.269

abc: 7.0015 7.0015 7.0015
angles: 90.00 90.00 90.00
Last column: nearest neighbours and their distance in Å.
Atoms (fractional coordinates):
Sc1 0.2500 0.2500 0.2500  4 I 3.03, 4 Pd 3.03
Sc2 0.2500 0.2500 0.7500  4 I 3.03, 4 Pd 3.03
Sc3 0.2500 0.7500 0.2500  4 I 3.03, 4 Pd 3.03
Sc4 0.2500 0.7500 0.7500  4 I 3.03, 4 Pd 3.03
Sc5 0.7500 0.2500 0.2500  4 I 3.03, 4 Pd 3.03
Sc6 0.7500 0.2500 0.7500  4 I 3.03, 4 Pd 3.03
Sc7 0.7500 0.7500 0.2500  4 I 3.03, 4 Pd 3.03
Sc8 0.7500 0.7500 0.7500  4 I 3.03, 4 Pd 3.03
Pd1 0.0000 0.0000 0.0000  8 Sc 3.03
Pd2 0.0000 0.5000 0.5000  8 Sc 3.03
Pd3 0.5000 0.0000 0.5000  8 Sc 3.03
Pd4 0.5000 0.5000 0.0000  8 Sc 3.03
I1 0.0000 0.0000 0.5000  8 Sc 3.03
I2 0.0000 0.5000 0.0000  8 Sc 3.03
I3 0.5000 0.0000 0.0000  8 Sc 3.03
I4 0.5000 0.5000 0.5000  8 Sc 3.03

---

2.
A relaxed structure of SrRe3Au. Source: the Alexandria database, functional PBE-GGA.

Computed properties:
- ΔE_f (eV/atom) = 2.417
- offset from the most stable computed form (eV/atom) = 0.000

abc: 4.9492 4.9492 4.9492
angles: 90.00 90.00 90.00
Last column: nearest neighbours and their distance in Å.
Atoms (fractional coordinates):
Sr1 0.0000 0.0000 0.0000  12 Re 3.50
Re1 0.0000 0.5000 0.5000  2 Au 2.47
Re2 0.5000 0.0000 0.5000  2 Au 2.47
Re3 0.5000 0.5000 0.0000  2 Au 2.47
Au1 0.5000 0.5000 0.5000  6 Re 2.47

---

3.
A relaxed structure of SnAsI3. Source: the Alexandria database, functional PBE-GGA.

Computed properties:
- formation energy from raw total energies (kcal/mol of atoms) = 4.76
- offset from the most stable computed form (eV/atom) = 0.000

abc: 5.7231 5.7231 5.7231
angles: 90.00 90.00 90.00
Last column: nearest neighbours and their distance in Å.
Atoms (fractional coordinates):
Sn1 0.0000 0.0000 0.0000  12 I 4.05
As1 0.5000 0.5000 0.5000  6 I 2.86
I1 0.0000 0.5000 0.5000  2 As 2.86
I2 0.5000 0.0000 0.5000  2 As 2.86
I3 0.5000 0.5000 0.0000  2 As 2.86

---

4.
A relaxed structure of Eu2HoRh. Source: the Alexandria database, functional PBE-GGA.

Computed properties:
- ΔE_f (eV/atom) = 0.063

abc: 3.6331 3.6331 31.9032
angles: 90.00 90.00 120.00
Last column: nearest neighbours and their distance in Å.
Atoms (fractional coordinates):
Eu1 0.0000 0.0000 0.1059  3 Rh 2.86
Eu2 0.0000 0.0000 0.8941  3 Rh 2.86
Eu3 0.3333 0.6667 0.5608  3 Rh 2.86
Eu4 0.3333 0.6667 0.7726  3 Rh 2.86
Eu5 0.6667 0.3333 0.2274  3 Rh 2.86
Eu6 0.6667 0.3333 0.4392  3 Rh 2.86
Ho1 0.0000 0.0000 0.0000  2 Eu 3.38, 6 Ho 3.63
Ho2 0.3333 0.6667 0.6667  2 Eu 3.38, 6 Ho 3.63
Ho3 0.6667 0.3333 0.3333  2 Eu 3.38, 6 Ho 3.63
Rh1 0.0000 0.0000 0.5000  6 Eu 2.86
Rh2 0.3333 0.6667 0.1667  6 Eu 2.86
Rh3 0.6667 0.3333 0.8333  6 Eu 2.86

---

5.
A relaxed structure of PPt3Rh. Source: the Alexandria database, functional PBE-GGA.

Computed properties:
- ΔE_f (eV/atom) = 0.409
- offset from the most stable computed form (eV/atom) = 0.000

abc: 4.4600 4.4600 4.4600
angles: 90.00 90.00 90.00
Last column: nearest neighbours and their distance in Å.
Atoms (fractional coordinates):
P1 0.0000 0.0000 0.0000  6 Pt 2.23
Pt1 0.0000 0.0000 0.5000  2 P 2.23
Pt2 0.0000 0.5000 0.0000  2 P 2.23
Pt3 0.5000 0.0000 0.0000  2 P 2.23
Rh1 0.5000 0.5000 0.5000  12 Pt 3.15

---

6.
A relaxed structure of Cd2InAu4. Source: the Alexandria database, functional PBE-GGA.

Computed properties:
- ΔE_f (eV/atom) = 0.252

abc: 5.2630 5.2630 13.7339
angles: 90.00 90.00 90.00
Last column: nearest neighbours and their distance in Å.
Atoms (fractional coordinates):
Cd1 0.0000 0.0000 0.1098  1 Au 2.65
Cd2 0.0000 0.0000 0.8902  1 Au 2.65
Cd3 0.5000 0.5000 0.3902  1 Au 2.65
Cd4 0.5000 0.5000 0.6098  1 Au 2.65
In1 0.0000 0.0000 0.5000  6 Au 2.63-2.71
In2 0.5000 0.5000 0.0000  6 Au 2.63-2.71
Au1 0.0000 0.0000 0.3028  1 Cd 2.65, 1 In 2.71
Au2 0.0000 0.0000 0.6972  1 Cd 2.65, 1 In 2.71
Au3 0.0000 0.5000 0.0000  2 In 2.63
Au4 0.0000 0.5000 0.5000  2 In 2.63
Au5 0.5000 0.0000 0.0000  2 In 2.63
Au6 0.5000 0.0000 0.5000  2 In 2.63
Au7 0.5000 0.5000 0.1972  1 Cd 2.65, 1 In 2.71
Au8 0.5000 0.5000 0.8028  1 Cd 2.65, 1 In 2.71